Computed, not measured: crystalline Fe3O2F4 at its relaxed geometry at the PBE with a Hubbard U level of DFT.

a b c (Å): 5.7174 5.7174 7.6482
angles (deg): 109.68 109.68 70.32
Sites, in units of the cell vectors:
1 Fe 0.0000 0.0000 0.0000
2 Fe 0.3418 0.3450 0.8396
3 Fe 0.3657 0.3013 0.3339
4 Fe 0.6550 0.6582 0.1604
5 Fe 0.6987 0.6343 0.6661
6 Fe 0.9941 0.0059 0.5000
7 O 0.0031 0.3368 0.6659
8 O 0.3018 0.6982 0.0000
9 O 0.6632 0.9969 0.3341
10 O 0.7051 0.2949 0.0000
11 F 0.0545 0.6176 0.3388
12 F 0.1049 0.0761 0.2930
13 F 0.2354 0.2160 0.0250
14 F 0.3824 0.9455 0.6612
15 F 0.4462 0.4168 0.6386
16 F 0.5832 0.5538 0.3614
17 F 0.7840 0.7646 0.9750
18 F 0.9239 0.8951 0.7070

## Properties
- space group = C2, No. 5
- ΔE to the lowest computed polymorph (meV/atom) = 0
- M_tot (μB/f.u.) = 14.0